# Mn2PdO | Alexandria via LeMat-Bulk | GGA+U | relaxed
data_Mn2PdO
_space_group_name_H-M_alt 'I -4 2 d'
_space_group_IT_number 122
_space_group_name_Hall 'I -4 2bw'
_cell_length_a 6.1675
_cell_length_b 6.1675
_cell_length_c 6.8725
_cell_angle_alpha 90.00
_cell_angle_beta 90.00
_cell_angle_gamma 90.00
loop_
_atom_site_label
_atom_site_fract_x
_atom_site_fract_y
_atom_site_fract_z
Mn1 0.1703 0.7500 0.1250
Pd1 0.0000 0.0000 0.5000
O1 0.0000 0.0000 0.0000
# Density ... 5.9 g/cm3
# E ... -6.846 eV per atom
# DOS(E_F) ... 1.11 states/eV/f.u.